La2MgW (PBEsol, optimized geometry); crystal system = monoclinic; SG = Pm; ΔE_f = 532 meV per atom
1.0
3.133 0.000 0.000
0.000 5.087 0.000
-1.541 0.000 6.220
La Mg W
2 1 1
direct
0.000 0.000 0.000
0.319 0.500 0.650
0.603 0.500 0.205
0.712 0.000 0.443

***

KSr2In2 (PBEsol, optimized geometry); crystal system = tetragonal; SG = I4/mmm; ΔE_f = -148 meV per atom
1.0
-3.117 3.117 5.200
3.117 -3.117 5.200
3.117 3.117 -5.200
K Sr In
1 2 2
direct
0.000 0.000 0.000
0.250 0.750 0.500
0.750 0.250 0.500
0.369 0.369 0.000
0.631 0.631 0.000

***

MnP3N (PBEsol, optimized geometry); crystal system = cubic; SG = Pm-3m; uncorrected formation energy = 1.200 eV/atom
1.0
4.168 0.000 0.000
0.000 4.168 0.000
0.000 0.000 4.168
Mn P N
1 3 1
direct
0.000 0.000 0.000
0.000 0.000 0.500
0.000 0.500 0.000
0.500 0.000 0.000
0.500 0.500 0.500

***

no.,DOS(E_F) (states/eV/f.u.),energy above the lowest structure with this stoichiometry (meV/atom),raw total energy (eV/cell)
1,4.4,0,-24.090
2,2.7,116,-11.519
3,1.8,522,-29.660